[1]
NdYThMg (GGA-PBE, relaxed); energy relative to the lowest polymorph listed for this composition = 0.00 eV per formula unit; calculated formation energy = -0.19 eV/f.u.; density of states at the Fermi level = 4.1 states/eV/cell; calculated density = 6.64 g/cm3
1.0
-1.5239 3.1960 -0.7909
-1.0036 0.3791 3.4657
8.0405 4.2937 1.8588
Y Nd Mg Th
1 1 1 1
direct
0.0000 0.0000 0.5601
0.0000 0.0000 0.0797
0.5000 0.5000 0.3280
0.5000 0.5000 0.8169

---

[2]
NdThMgZn (GGA-PBE, relaxed); calculated formation energy = -0.29 eV/f.u.; density of states at the Fermi level = 4.2 states/eV/cell; calculated density = 7.28 g/cm3
1.0
5.3179 0.0000 0.0000
2.6589 4.6054 0.0000
2.6589 1.5351 4.3420
Zn Th Nd Mg
1 1 1 1
direct
0.0000 0.0000 0.0000
0.7500 0.7500 0.7500
0.2500 0.2500 0.2500
0.5000 0.5000 0.5000